Entry from the Alexandria database: crystalline NdY3Cl at its relaxed geometry (PBE-GGA).

Lattice parameters (Å, degrees): 5.334 5.334 5.334 90.00 90.00 90.00
Element x y z (fractional)
Y1 0.000 0.500 0.000
Y2 0.000 0.000 0.500
Y3 0.500 0.000 0.000
Nd1 0.500 0.500 0.500
Cl1 0.000 0.000 0.000

Values from the calculation:
symmetry	No. 221
formation energy without anion corrections	-0.4654	eV/atom
M_tot	0.0	μB/f.u.
crystal system	cubic